Entry 1:
{"formula": "LiTbLuSc", "functional": "GGA-PBE", "state": "relaxed", "lattice_angstrom": [[5.296, 0.000, 0.000], [2.648, 4.586, 0.000], [2.648, 1.529, 4.324]], "species": ["Lu", "Li", "Sc", "Tb"], "fractional_positions": [[0.250, 0.250, 0.250], [0.500, 0.500, 0.500], [0.000, 0.000, 0.000], [0.750, 0.750, 0.750]], "total_magnetization_mub_per_cell": 0.0, "vol_a3_per_fu": 105.0, "energy_ev_per_atom": -4.1891}



Entry 2:
{"formula": "Tb12Er6Sc", "functional": "GGA-PBE", "state": "relaxed", "lattice_angstrom": [[-3.602, 1.919, 8.665], [-6.654, 1.107, -6.800], [3.753, -8.807, -0.279]], "species": ["Sc", "Er", "Er", "Er", "Er", "Er", "Er", "Tb", "Tb", "Tb", "Tb", "Tb", "Tb", "Tb", "Tb", "Tb", "Tb", "Tb", "Tb"], "fractional_positions": [[0.000, 0.000, 0.000], [0.356, 0.356, 0.738], [0.356, 0.738, 0.356], [0.738, 0.356, 0.356], [0.644, 0.644, 0.262], [0.262, 0.644, 0.644], [0.644, 0.262, 0.644], [0.749, 0.000, 0.749], [0.749, 0.749, 0.000], [0.000, 0.251, 0.251], [0.000, 0.749, 0.749], [0.500, 0.889, 0.111], [0.251, 0.251, 0.000], [0.889, 0.500, 0.111], [0.251, 0.000, 0.251], [0.889, 0.111, 0.500], [0.111, 0.500, 0.889], [0.500, 0.111, 0.889], [0.111, 0.889, 0.500]], "total_magnetization_mub_per_cell": 0.0, "vol_a3_per_fu": 636.0, "energy_ev_per_atom": -4.2825}



Entry 3:
{"formula": "Sc4IrPt2", "functional": "GGA-PBE", "state": "relaxed", "lattice_angstrom": [[-3.938, 1.948, 1.335], [-1.135, 0.070, 4.448], [1.813, 7.214, 2.719]], "species": ["Sc", "Sc", "Sc", "Sc", "Pt", "Pt", "Ir"], "fractional_positions": [[0.377, 0.377, 0.870], [0.623, 0.623, 0.130], [0.126, 0.126, 0.623], [0.874, 0.874, 0.377], [0.250, 0.250, 0.249], [0.750, 0.750, 0.751], [0.000, 0.000, 0.000]], "total_magnetization_mub_per_cell": 0.0, "vol_a3_per_fu": 136.3, "energy_ev_per_atom": -7.6868}



Entry 4:
{"formula": "Tb2ErSc", "functional": "GGA-PBE", "state": "relaxed", "lattice_angstrom": [[6.666, -1.880, -0.269], [-1.857, 6.334, -2.112], [-0.537, -3.160, 13.489]], "species": ["Tb", "Tb", "Tb", "Tb", "Tb", "Tb", "Tb", "Tb", "Sc", "Sc", "Sc", "Sc", "Er", "Er", "Er", "Er"], "fractional_positions": [[0.248, 0.498, 0.375], [0.748, 0.998, 0.875], [0.752, 0.502, 0.625], [0.252, 0.002, 0.125], [0.249, 0.998, 0.625], [0.251, 0.501, 0.875], [0.749, 0.499, 0.125], [0.751, 0.002, 0.375], [0.251, 0.504, 0.627], [0.751, 0.003, 0.127], [0.749, 0.496, 0.373], [0.249, 0.997, 0.873], [0.749, 0.997, 0.623], [0.751, 0.503, 0.877], [0.249, 0.497, 0.123], [0.251, 0.003, 0.377]], "total_magnetization_mub_per_cell": 0.0, "vol_a3_per_fu": 118.3, "energy_ev_per_atom": -4.9975}